Record 1
MnAlAg2 at its PBEsol-relaxed geometry. Source: the Alexandria database, functional SCAN.

The structure in POSCAR format:
```
MnAlAg2
1.0
-2.366 -1.747 0.572
0.172 -1.139 -2.766
4.270 -5.019 2.331
Mn Al Ag
1 1 2
Cartesian
1.038 -3.952 0.069
-1.097 -1.443 -1.097
3.222 -3.787 1.759
1.048 -1.232 0.572
```

Properties
calculated formation energy	-0.4	eV per formula unit

***

Record 2
Co2SiTe at its PBEsol-relaxed geometry. Source: the Alexandria database, functional SCAN.

The structure in POSCAR format:
```
Co2SiTe
1.0
2.891 0.000 0.000
0.000 3.423 0.000
-1.446 -1.712 5.786
Co Si Te
2 1 1
Cartesian
1.446 1.712 5.639
1.446 0.000 2.021
1.446 1.712 0.506
0.000 1.712 3.405
```

Properties
ΔE_f (raw)	0.14	eV per atom
energy above the lowest structure with this stoichiometry	0.07	eV per formula unit

***

Record 3
BaSrI2O at its PBEsol-relaxed geometry. Source: the Alexandria database, functional SCAN.

The structure in POSCAR format:
```
BaSrI2O
1.0
4.598 0.000 0.000
0.000 6.611 0.000
0.000 0.000 6.611
I Sr Ba O
2 1 1 1
Cartesian
0.000 0.000 3.305
0.000 3.305 0.000
2.299 3.305 3.305
0.000 0.000 0.000
2.299 0.000 0.000
```

Properties
ΔE_f (raw)	-1.44	eV per atom

***

Record 4
Mg2ZrCu at its PBEsol-relaxed geometry. Source: the Alexandria database, functional SCAN.

The structure in POSCAR format:
```
Mg2ZrCu
1.0
-1.015 -2.739 0.677
2.789 -1.083 -0.202
1.158 1.517 7.871
Cu Mg Zr
1 2 1
Cartesian
1.466 -1.152 4.173
0.819 1.072 5.563
0.340 0.445 2.308
0.887 -1.911 0.238
```

Properties
calculated formation energy	-0.1	eV per formula unit

***

Record 5
LiLaBr2 at its PBEsol-relaxed geometry. Source: the Alexandria database, functional SCAN.

The structure in POSCAR format:
```
LiLaBr2
1.0
4.117 0.000 0.000
0.000 4.117 0.000
-2.058 -2.058 6.006
Br La Li
2 1 1
Cartesian
0.000 0.000 0.000
2.058 0.000 3.003
2.058 2.058 0.000
0.000 2.058 3.003
```

Properties
ΔE_f (raw)	-1.23	eV per atom
energy above the lowest structure with this stoichiometry	1.45	eV per formula unit

***

Record 6
BaCu3 at its PBEsol-relaxed geometry. Source: the Alexandria database, functional SCAN.

The structure in POSCAR format:
```
BaCu3
1.0
-2.453 0.326 -2.115
2.435 -2.661 -3.234
-2.053 -4.019 1.761
Ba Cu
1 3
Cartesian
0.000 0.000 0.000
-2.253 -1.846 -0.177
-0.009 -1.167 -2.675
0.191 -3.340 -0.736
```

Properties
calculated formation energy	2.8	eV per formula unit